Record 1
GaBiSe PBE-GGA optimized geometry; density of states at the Fermi level = 0.83 states/eV per cell; ΔE to the lowest computed polymorph = 0.0 kJ/mol of formula units; magnetization = 0.0 μB per formula unit
1.0
3.173 -1.832 0.000
3.173 1.832 0.000
-0.876 0.000 7.836
Ga Bi Se
1 1 1
Direct
0.000 0.000 0.000 Ga
0.049 0.049 0.351 Bi
0.645 0.645 0.839 Se

***

Record 2
Sr2GaBiSe5 PBE-GGA optimized geometry; magnetization = 0.0 μB per formula unit
1.0
2.079 -9.431 0.000
2.079 9.431 0.000
0.000 0.000 12.994
Sr Ga Bi Se
4 2 2 10
Direct
0.114 0.886 0.500 Sr
0.123 0.877 0.143 Sr
0.877 0.123 0.643 Sr
0.886 0.114 0.000 Sr
0.443 0.557 0.246 Ga
0.557 0.443 0.746 Ga
0.208 0.792 0.848 Bi
0.792 0.208 0.348 Bi
0.038 0.962 0.853 Se
0.285 0.715 0.504 Se
0.319 0.681 0.183 Se
0.355 0.645 0.823 Se
0.496 0.504 0.585 Se
0.504 0.496 0.085 Se
0.645 0.355 0.323 Se
0.681 0.319 0.683 Se
0.715 0.285 0.004 Se
0.962 0.038 0.353 Se

***

Record 3
Tm4GaBiSe2 PBE-GGA optimized geometry; density of states at the Fermi level = 3.13 states/eV per cell; magnetization = 0.0 μB per formula unit
1.0
7.263 0.000 0.000
0.000 4.083 0.000
-2.354 0.000 6.906
Tm Ga Bi Se
4 1 1 2
Direct
0.246 0.000 0.230 Tm
0.251 0.500 0.760 Tm
0.749 0.500 0.240 Tm
0.754 0.000 0.770 Tm
0.500 0.000 0.000 Ga
0.500 0.500 0.500 Bi
0.000 0.000 0.500 Se
0.000 0.500 0.000 Se

***

Record 4
Ga12Si5Bi3 PBE-GGA optimized geometry; density of states at the Fermi level = 53.96 states/eV per cell; magnetization = 0.0 μB per formula unit
1.0
-7.900 7.900 7.900
7.900 -7.900 7.900
7.900 7.900 -7.900
Ga Si Bi
48 20 12
Direct
0.034 0.208 0.117 Ga
0.034 0.326 0.917 Ga
0.083 0.617 0.409 Ga
0.083 0.966 0.674 Ga
0.091 0.708 0.674 Ga
0.091 0.883 0.417 Ga
0.117 0.034 0.208 Ga
0.117 0.583 0.909 Ga
0.174 0.208 0.591 Ga
0.174 0.466 0.583 Ga
0.208 0.117 0.034 Ga
0.208 0.591 0.174 Ga
0.292 0.326 0.909 Ga
0.292 0.466 0.383 Ga
0.326 0.909 0.292 Ga
0.326 0.917 0.034 Ga
0.383 0.292 0.466 Ga
0.383 0.591 0.917 Ga
0.409 0.083 0.617 Ga
0.409 0.826 0.792 Ga
0.417 0.091 0.883 Ga
0.417 0.826 0.534 Ga
0.466 0.383 0.292 Ga
0.466 0.583 0.174 Ga
0.534 0.417 0.826 Ga
0.534 0.617 0.708 Ga
0.583 0.174 0.466 Ga
0.583 0.909 0.117 Ga
0.591 0.174 0.208 Ga
0.591 0.917 0.383 Ga
0.617 0.409 0.083 Ga
0.617 0.708 0.534 Ga
0.674 0.083 0.966 Ga
0.674 0.091 0.708 Ga
0.708 0.534 0.617 Ga
0.708 0.674 0.091 Ga
0.792 0.409 0.826 Ga
0.792 0.883 0.966 Ga
0.826 0.534 0.417 Ga
0.826 0.792 0.409 Ga
0.883 0.417 0.091 Ga
0.883 0.966 0.792 Ga
0.909 0.117 0.583 Ga
0.909 0.292 0.326 Ga
0.917 0.034 0.326 Ga
0.917 0.383 0.591 Ga
0.966 0.674 0.083 Ga
0.966 0.792 0.883 Ga
0.000 0.000 0.000 Si
0.000 0.000 0.500 Si
0.000 0.500 0.000 Si
0.000 0.500 0.500 Si
0.125 0.750 0.875 Si
0.125 0.875 0.250 Si
0.250 0.125 0.875 Si
0.250 0.625 0.375 Si
0.375 0.250 0.625 Si
0.375 0.625 0.750 Si
0.500 0.000 0.000 Si
0.500 0.000 0.500 Si
0.500 0.500 0.000 Si
0.500 0.500 0.500 Si
0.625 0.375 0.250 Si
0.625 0.750 0.375 Si
0.750 0.375 0.625 Si
0.750 0.875 0.125 Si
0.875 0.125 0.750 Si
0.875 0.250 0.125 Si
0.125 0.250 0.375 Bi
0.125 0.375 0.750 Bi
0.250 0.375 0.125 Bi
0.250 0.875 0.625 Bi
0.375 0.125 0.250 Bi
0.375 0.750 0.125 Bi
0.625 0.250 0.875 Bi
0.625 0.875 0.750 Bi
0.750 0.125 0.375 Bi
0.750 0.625 0.875 Bi
0.875 0.625 0.250 Bi
0.875 0.750 0.625 Bi

***

Number 1: raw formation energy -0.98 eV per formula unit, E_tot -11.4 eV for the cell shown. Number 2: raw formation energy -10.83 eV per formula unit, E_tot -77.1 eV for the cell shown. Number 3: raw formation energy -9.13 eV per formula unit, E_tot -40.9 eV for the cell shown. Number 4: raw formation energy 4.78 eV per formula unit, E_tot -281.2 eV for the cell shown.